Record 1
# MnIr3Au GGA-PBE optimized geometry
# * E_form: 6.65 eV per formula unit
# * total energy: -6.476 eV per atom
# * M_tot: 0.0 μB/f.u.
data_MnIr3Au
_symmetry_space_group_name_H-M 'P 1'
_symmetry_Int_Tables_number 1
_symmetry_space_group_name_Hall 'P 1'
_cell_length_a 4.4610
_cell_length_b 4.4610
_cell_length_c 4.4610
_cell_angle_alpha 90.00
_cell_angle_beta 90.00
_cell_angle_gamma 90.00
loop_
_atom_site_label
_atom_site_fract_x
_atom_site_fract_y
_atom_site_fract_z
Ir1 0.0000 0.5000 0.0000
Ir2 0.5000 0.0000 0.0000
Ir3 0.0000 0.0000 0.5000
Au1 0.5000 0.5000 0.5000
Mn1 0.0000 0.0000 0.0000

***

Record 2
# Cd2CuPAu GGA-PBE optimized geometry
# * E_form: 3.53 eV per formula unit
# * total energy: -2.217 eV per atom
# * M_tot: 0.0 μB/f.u.
data_Cd2CuPAu
_symmetry_space_group_name_H-M 'P 1'
_symmetry_Int_Tables_number 1
_symmetry_space_group_name_Hall 'P 1'
_cell_length_a 5.3206
_cell_length_b 4.6173
_cell_length_c 5.3206
_cell_angle_alpha 90.00
_cell_angle_beta 90.00
_cell_angle_gamma 90.00
loop_
_atom_site_label
_atom_site_fract_x
_atom_site_fract_y
_atom_site_fract_z
Cu1 0.5000 0.5000 0.5000
Au1 0.0000 0.0000 0.0000
P1 0.0000 0.5000 0.0000
Cd1 0.0000 0.0000 0.5000
Cd2 0.5000 0.0000 0.0000

***

Record 3
# CaScAl2 GGA-PBE optimized geometry
# * E_form: -0.34 eV per formula unit
# * total energy: -4.039 eV per atom
# * M_tot: 0.0 μB/f.u.
data_CaScAl2
_symmetry_space_group_name_H-M 'P 1'
_symmetry_Int_Tables_number 1
_symmetry_space_group_name_Hall 'P 1'
_cell_length_a 5.1687
_cell_length_b 5.1687
_cell_length_c 5.9702
_cell_angle_alpha 76.77
_cell_angle_beta 76.77
_cell_angle_gamma 40.23
loop_
_atom_site_label
_atom_site_fract_x
_atom_site_fract_y
_atom_site_fract_z
Sc1 0.7500 0.7500 0.7500
Ca1 0.2500 0.2500 0.2500
Al1 0.0071 0.0071 0.9350
Al2 0.4929 0.4929 0.5650

***

Record 4
# RhAuICl GGA-PBE optimized geometry
# * E_form (uncorrected): -12.06 kJ per mole of atoms
# * total energy: -3.631 eV per atom
# * M_tot: 0.0 μB/f.u.
data_RhAuICl
_symmetry_space_group_name_H-M 'P 1'
_symmetry_Int_Tables_number 1
_symmetry_space_group_name_Hall 'P 1'
_cell_length_a 3.8308
_cell_length_b 3.8308
_cell_length_c 22.3556
_cell_angle_alpha 90.00
_cell_angle_beta 90.00
_cell_angle_gamma 120.00
loop_
_atom_site_label
_atom_site_fract_x
_atom_site_fract_y
_atom_site_fract_z
Au1 0.6667 0.3333 0.4830
Au2 0.0000 0.0000 0.1497
Au3 0.3333 0.6667 0.8163
I1 0.3333 0.6667 0.2797
I2 0.6667 0.3333 0.9464
I3 0.0000 0.0000 0.6131
Cl1 0.6667 0.3333 0.7491
Cl2 0.0000 0.0000 0.4158
Cl3 0.3333 0.6667 0.0824
Rh1 0.3333 0.6667 0.5525
Rh2 0.6667 0.3333 0.2192
Rh3 0.0000 0.0000 0.8858

***

Record 5
# NiOsBr2 GGA-PBE optimized geometry
# * E_form (uncorrected): 96.86 kJ per mole of atoms
# * total energy: -4.085 eV per atom
# * M_tot: 0.0 μB/f.u.
data_NiOsBr2
_symmetry_space_group_name_H-M 'P 1'
_symmetry_Int_Tables_number 1
_symmetry_space_group_name_Hall 'P 1'
_cell_length_a 7.8804
_cell_length_b 7.8804
_cell_length_c 7.8804
_cell_angle_alpha 23.21
_cell_angle_beta 23.21
_cell_angle_gamma 23.21
loop_
_atom_site_label
_atom_site_fract_x
_atom_site_fract_y
_atom_site_fract_z
Br1 0.9937 0.9937 0.9937
Br2 0.5063 0.5063 0.5063
Os1 0.7500 0.7500 0.7500
Ni1 0.2500 0.2500 0.2500

***

Record 6
# MgTeF GGA-PBE optimized geometry
# * E_form (uncorrected): -179.71 kJ per mole of atoms
# * total energy: -4.065 eV per atom
# * M_tot: 0.0 μB/f.u.
data_MgTeF
_symmetry_space_group_name_H-M 'P 1'
_symmetry_Int_Tables_number 1
_symmetry_space_group_name_Hall 'P 1'
_cell_length_a 4.0948
_cell_length_b 6.0067
_cell_length_c 10.2591
_cell_angle_alpha 90.00
_cell_angle_beta 96.09
_cell_angle_gamma 90.00
loop_
_atom_site_label
_atom_site_fract_x
_atom_site_fract_y
_atom_site_fract_z
Mg1 0.7766 0.5000 0.1191
Mg2 0.2234 0.0000 0.3809
Mg3 0.2234 0.5000 0.8809
Mg4 0.7766 0.0000 0.6191
F1 0.2761 0.5000 0.0809
F2 0.7239 0.5000 0.9191
F3 0.7239 0.0000 0.4191
F4 0.2761 0.0000 0.5809
Te1 0.8600 0.5000 0.6180
Te2 0.1400 0.5000 0.3820
Te3 0.8600 0.0000 0.1180
Te4 0.1400 0.0000 0.8820

***

Record 7
# LaBePd4 GGA-PBE optimized geometry
# * E_form: -3.81 eV per formula unit
# * total energy: -5.538 eV per atom
# * M_tot: 0.0 μB/f.u.
data_LaBePd4
_symmetry_space_group_name_H-M 'P 1'
_symmetry_Int_Tables_number 1
_symmetry_space_group_name_Hall 'P 1'
_cell_length_a 3.8537
_cell_length_b 6.8976
_cell_length_c 7.7191
_cell_angle_alpha 90.00
_cell_angle_beta 90.00
_cell_angle_gamma 90.00
loop_
_atom_site_label
_atom_site_fract_x
_atom_site_fract_y
_atom_site_fract_z
Pd1 0.5000 0.6959 0.0667
Pd2 0.5000 0.3041 0.9333
Pd3 0.5000 0.3041 0.5667
Pd4 0.5000 0.9556 0.7500
Pd5 0.0000 0.0000 0.0000
Pd6 0.0000 0.0000 0.5000
Pd7 0.5000 0.6959 0.4333
Pd8 0.5000 0.0444 0.2500
Be1 0.0000 0.8198 0.2500
Be2 0.0000 0.1802 0.7500
La1 0.0000 0.3717 0.2500
La2 0.0000 0.6283 0.7500

***

Record 8
# BrCl12F6 GGA-PBE optimized geometry
# * E_form (uncorrected): -14.25 kJ per mole of atoms
# * total energy: -1.993 eV per atom
# * M_tot: 0.9 μB/f.u.
data_BrCl12F6
_symmetry_space_group_name_H-M 'P 1'
_symmetry_Int_Tables_number 1
_symmetry_space_group_name_Hall 'P 1'
_cell_length_a 5.9916
_cell_length_b 10.5072
_cell_length_c 10.3243
_cell_angle_alpha 63.77
_cell_angle_beta 83.13
_cell_angle_gamma 104.02
loop_
_atom_site_label
_atom_site_fract_x
_atom_site_fract_y
_atom_site_fract_z
Cl1 0.1663 0.5821 0.2521
Cl2 0.8415 0.2601 0.1381
Cl3 0.4926 0.1283 0.5842
Cl4 0.7928 0.8250 0.4907
Cl5 0.8337 0.4179 0.7479
Cl6 0.1790 0.4395 0.6739
Cl7 0.1585 0.7399 0.8619
Cl8 0.8584 0.8349 0.9066
Cl9 0.5074 0.8717 0.4158
Cl10 0.2072 0.1750 0.5093
Cl11 0.8210 0.5605 0.3261
Cl12 0.1416 0.1651 0.0934
Br1 0.0000 0.0000 0.0000
F1 0.3761 0.6659 0.8259
F2 0.8581 0.1756 0.5512
F3 0.1419 0.8244 0.4488
F4 0.4953 0.3999 0.7148
F5 0.6239 0.3341 0.1741
F6 0.5047 0.6001 0.2852

***

Record 9
# KSc2Pb GGA-PBE optimized geometry
# * E_form: 0.24 eV per formula unit
# * total energy: -4.307 eV per atom
# * M_tot: 1.0 μB/f.u.
data_KSc2Pb
_symmetry_space_group_name_H-M 'P 1'
_symmetry_Int_Tables_number 1
_symmetry_space_group_name_Hall 'P 1'
_cell_length_a 4.3469
_cell_length_b 3.4493
_cell_length_c 9.2066
_cell_angle_alpha 67.94
_cell_angle_beta 90.00
_cell_angle_gamma 90.00
loop_
_atom_site_label
_atom_site_fract_x
_atom_site_fract_y
_atom_site_fract_z
Sc1 0.5000 0.3243 0.1748
Sc2 0.0000 0.0167 0.9827
K1 0.0000 0.4768 0.5250
Pb1 0.5000 0.6822 0.8175

***

Record 10
# HfPaMnS6 GGA-PBE optimized geometry
# * E_form (uncorrected): -109.47 kJ per mole of atoms
# * total energy: -7.066 eV per atom
# * M_tot: 4.0 μB/f.u.
data_HfPaMnS6
_symmetry_space_group_name_H-M 'P 1'
_symmetry_Int_Tables_number 1
_symmetry_space_group_name_Hall 'P 1'
_cell_length_a 5.9790
_cell_length_b 6.2346
_cell_length_c 6.2346
_cell_angle_alpha 120.00
_cell_angle_beta 90.00
_cell_angle_gamma 90.00
loop_
_atom_site_label
_atom_site_fract_x
_atom_site_fract_y
_atom_site_fract_z
S1 0.2643 0.3214 0.3162
S2 0.7357 0.6838 0.6786
S3 0.2643 0.9948 0.6786
S4 0.7357 0.9948 0.3162
S5 0.7357 0.3214 0.0052
S6 0.2643 0.6838 0.0052
Mn1 0.5000 0.0000 0.0000
Pa1 0.0000 0.3333 0.6667
Hf1 0.5000 0.6667 0.3333

***

Record 11
# Y3Pd4Au2 GGA-PBE optimized geometry
# * E_form: -7.26 eV per formula unit
# * total energy: -5.997 eV per atom
# * M_tot: 0.0 μB/f.u.
data_Y3Pd4Au2
_symmetry_space_group_name_H-M 'P 1'
_symmetry_Int_Tables_number 1
_symmetry_space_group_name_Hall 'P 1'
_cell_length_a 7.3384
_cell_length_b 7.3198
_cell_length_c 7.3628
_cell_angle_alpha 83.12
_cell_angle_beta 90.23
_cell_angle_gamma 67.98
loop_
_atom_site_label
_atom_site_fract_x
_atom_site_fract_y
_atom_site_fract_z
Au1 0.0847 0.4476 0.6974
Au2 0.4162 0.2206 0.4730
Au3 0.9153 0.5524 0.3026
Au4 0.5838 0.7794 0.5270
Pd1 0.0812 0.7752 0.0293
Pd2 0.5850 0.1076 0.8627
Pd3 0.9181 0.8869 0.6382
Pd4 0.5806 0.4447 0.1967
Pd5 0.0819 0.1131 0.3618
Pd6 0.4150 0.8924 0.1373
Pd7 0.9188 0.2248 0.9707
Pd8 0.4194 0.5553 0.8033
Y1 0.7509 0.3259 0.5889
Y2 0.2554 0.3315 0.0804
Y3 0.2459 0.9936 0.7573
Y4 0.2491 0.6741 0.4111
Y5 0.7446 0.6685 0.9196
Y6 0.7541 0.0064 0.2427

***

Record 12
# Ac3SeN2 GGA-PBE optimized geometry
# * E_form (uncorrected): -127.90 kJ per mole of atoms
# * total energy: -6.736 eV per atom
# * M_tot: 0.9 μB/f.u.
data_Ac3SeN2
_symmetry_space_group_name_H-M 'P 1'
_symmetry_Int_Tables_number 1
_symmetry_space_group_name_Hall 'P 1'
_cell_length_a 4.1636
_cell_length_b 7.3102
_cell_length_c 10.5944
_cell_angle_alpha 90.00
_cell_angle_beta 90.00
_cell_angle_gamma 106.55
loop_
_atom_site_label
_atom_site_fract_x
_atom_site_fract_y
_atom_site_fract_z
Ac1 0.6204 0.2407 0.0650
Ac2 0.3796 0.7593 0.5650
Ac3 0.0675 0.1349 0.7500
Ac4 0.9325 0.8651 0.2500
Ac5 0.3796 0.7593 0.9350
Ac6 0.6204 0.2407 0.4350
N1 0.4739 0.9478 0.7500
N2 0.0000 0.0000 0.5000
N3 0.0000 0.0000 0.0000
N4 0.5261 0.0522 0.2500
Se1 0.2491 0.4983 0.2500
Se2 0.7509 0.5017 0.7500

***

Record 13
# Tb3Nd2Ir2 GGA-PBE optimized geometry
# * E_form: -4.00 eV per formula unit
# * total energy: -6.450 eV per atom
# * M_tot: 0.0 μB/f.u.
data_Tb3Nd2Ir2
_symmetry_space_group_name_H-M 'P 1'
_symmetry_Int_Tables_number 1
_symmetry_space_group_name_Hall 'P 1'
_cell_length_a 3.8521
_cell_length_b 6.4613
_cell_length_c 9.0859
_cell_angle_alpha 115.44
_cell_angle_beta 90.00
_cell_angle_gamma 107.34
loop_
_atom_site_label
_atom_site_fract_x
_atom_site_fract_y
_atom_site_fract_z
Nd1 0.8336 0.6671 0.1935
Nd2 0.1664 0.3329 0.8065
Tb1 0.6197 0.2393 0.4301
Tb2 0.5000 0.0000 0.0000
Tb3 0.3803 0.7607 0.5699
Ir1 0.8266 0.6532 0.7585
Ir2 0.1734 0.3468 0.2415

***

Record 14
# TlPd2 GGA-PBE optimized geometry
# * E_form: -0.18 eV per formula unit
# * total energy: -4.312 eV per atom
# * M_tot: 0.0 μB/f.u.
data_TlPd2
_symmetry_space_group_name_H-M 'P 1'
_symmetry_Int_Tables_number 1
_symmetry_space_group_name_Hall 'P 1'
_cell_length_a 5.4532
_cell_length_b 5.4532
_cell_length_c 5.4532
_cell_angle_alpha 60.00
_cell_angle_beta 60.00
_cell_angle_gamma 60.00
loop_
_atom_site_label
_atom_site_fract_x
_atom_site_fract_y
_atom_site_fract_z
Tl1 0.2500 0.2500 0.2500
Tl2 0.0000 0.0000 0.0000
Pd1 0.6250 0.6250 0.6250
Pd2 0.6250 0.1250 0.6250
Pd3 0.6250 0.6250 0.1250
Pd4 0.1250 0.6250 0.6250

***

Record 15
# SbPtPb2 GGA-PBE optimized geometry
# * E_form (uncorrected): 11.06 kJ per mole of atoms
# * total energy: -4.280 eV per atom
# * M_tot: 0.0 μB/f.u.
data_SbPtPb2
_symmetry_space_group_name_H-M 'P 1'
_symmetry_Int_Tables_number 1
_symmetry_space_group_name_Hall 'P 1'
_cell_length_a 4.6150
_cell_length_b 4.6150
_cell_length_c 4.7411
_cell_angle_alpha 90.00
_cell_angle_beta 90.00
_cell_angle_gamma 90.00
loop_
_atom_site_label
_atom_site_fract_x
_atom_site_fract_y
_atom_site_fract_z
Pb1 0.0000 0.0000 0.0000
Pb2 0.5000 0.5000 0.0000
Sb1 0.0000 0.5000 0.5000
Pt1 0.5000 0.0000 0.5000

***

Record 16
# Li2CoBr GGA-PBE optimized geometry
# * E_form (uncorrected): 9.41 kJ per mole of atoms
# * total energy: -3.054 eV per atom
# * M_tot: 2.0 μB/f.u.
data_Li2CoBr
_symmetry_space_group_name_H-M 'P 1'
_symmetry_Int_Tables_number 1
_symmetry_space_group_name_Hall 'P 1'
_cell_length_a 6.7049
_cell_length_b 6.7049
_cell_length_c 6.1395
_cell_angle_alpha 56.90
_cell_angle_beta 56.90
_cell_angle_gamma 90.00
loop_
_atom_site_label
_atom_site_fract_x
_atom_site_fract_y
_atom_site_fract_z
Li1 0.1029 0.6250 0.2500
Li2 0.3750 0.3529 0.7500
Li3 0.8750 0.8971 0.7500
Li4 0.6471 0.1250 0.2500
Co1 0.5000 0.5000 0.0000
Co2 0.2500 0.7500 0.5000
Br1 0.0000 0.0000 0.0000
Br2 0.7500 0.2500 0.5000

***

Record 17
# YHo8Er6 GGA-PBE optimized geometry
# * E_form: 2.02 eV per formula unit
# * total energy: -4.563 eV per atom
# * M_tot: 0.0 μB/f.u.
data_YHo8Er6
_symmetry_space_group_name_H-M 'P 1'
_symmetry_Int_Tables_number 1
_symmetry_space_group_name_Hall 'P 1'
_cell_length_a 8.9578
_cell_length_b 8.9578
_cell_length_c 8.5545
_cell_angle_alpha 58.43
_cell_angle_beta 58.43
_cell_angle_gamma 60.00
loop_
_atom_site_label
_atom_site_fract_x
_atom_site_fract_y
_atom_site_fract_z
Ho1 0.2570 0.2792 0.5734
Ho2 0.2792 0.8903 0.5734
Ho3 0.7208 0.1097 0.4266
Ho4 0.5765 0.5765 0.2704
Ho5 0.8903 0.2570 0.5734
Ho6 0.7430 0.7208 0.4266
Ho7 0.1097 0.7430 0.4266
Ho8 0.4235 0.4235 0.7296
Er1 0.1101 0.2283 0.1215
Er2 0.2283 0.5401 0.1215
Er3 0.5401 0.1101 0.1215
Er4 0.4599 0.8899 0.8785
Er5 0.7717 0.4599 0.8785
Er6 0.8899 0.7717 0.8785
Y1 0.0000 0.0000 0.0000

***

Record 18
# Sc2Ga4Fe5 GGA-PBE optimized geometry
# * E_form: -1.92 eV per formula unit
# * total energy: -6.273 eV per atom
# * M_tot: 8.6 μB/f.u.
data_Sc2Ga4Fe5
_symmetry_space_group_name_H-M 'P 1'
_symmetry_Int_Tables_number 1
_symmetry_space_group_name_Hall 'P 1'
_cell_length_a 5.1044
_cell_length_b 4.9508
_cell_length_c 8.4019
_cell_angle_alpha 80.99
_cell_angle_beta 72.32
_cell_angle_gamma 58.97
loop_
_atom_site_label
_atom_site_fract_x
_atom_site_fract_y
_atom_site_fract_z
Ga1 0.5347 0.6744 0.2562
Ga2 0.7909 0.6744 0.7438
Ga3 0.4653 0.3256 0.7438
Ga4 0.2091 0.3256 0.2562
Fe1 0.0000 0.5000 0.0000
Fe2 0.7500 0.5000 0.5000
Fe3 0.5000 0.5000 0.0000
Fe4 0.5000 0.0000 0.0000
Fe5 0.2500 0.5000 0.5000
Sc1 0.0994 0.0000 0.8013
Sc2 0.9006 0.0000 0.1987

***

Record 19
# Nd8As3AuSe4 GGA-PBE optimized geometry
# * E_form (uncorrected): -155.36 kJ per mole of atoms
# * total energy: -5.942 eV per atom
# * M_tot: 0.0 μB/f.u.
data_Nd8As3AuSe4
_symmetry_space_group_name_H-M 'P 1'
_symmetry_Int_Tables_number 1
_symmetry_space_group_name_Hall 'P 1'
_cell_length_a 8.5221
_cell_length_b 8.5339
_cell_length_c 8.5224
_cell_angle_alpha 119.96
_cell_angle_beta 120.00
_cell_angle_gamma 90.00
loop_
_atom_site_label
_atom_site_fract_x
_atom_site_fract_y
_atom_site_fract_z
Nd1 0.7482 0.2533 0.0051
Nd2 0.2538 0.2612 0.5075
Nd3 0.2569 0.2533 0.0051
Nd4 0.7431 0.7467 0.9949
Nd5 0.2519 0.7467 0.5037
Nd6 0.7462 0.7388 0.4925
Nd7 0.7481 0.2533 0.4963
Nd8 0.2518 0.7467 0.9949
Se1 0.5000 0.0000 0.0000
Se2 0.5000 0.0000 0.5000
Se3 0.0000 0.0000 0.5000
Se4 0.0000 0.0000 0.0000
As1 0.5000 0.5000 0.0000
As2 0.5000 0.5000 0.5000
As3 0.0000 0.5000 0.5000
Au1 0.0000 0.5000 0.0000

***

Record 20
# Th2GaGe2 GGA-PBE optimized geometry
# * E_form: -3.22 eV per formula unit
# * total energy: -6.065 eV per atom
# * M_tot: 0.0 μB/f.u.
data_Th2GaGe2
_symmetry_space_group_name_H-M 'P 1'
_symmetry_Int_Tables_number 1
_symmetry_space_group_name_Hall 'P 1'
_cell_length_a 4.2238
_cell_length_b 5.8523
_cell_length_c 5.8523
_cell_angle_alpha 66.82
_cell_angle_beta 68.85
_cell_angle_gamma 68.85
loop_
_atom_site_label
_atom_site_fract_x
_atom_site_fract_y
_atom_site_fract_z
Th1 0.2214 0.2786 0.2786
Th2 0.7786 0.7214 0.7214
Ga1 0.0000 0.0000 0.0000
Ge1 0.5000 0.7035 0.2965
Ge2 0.5000 0.2965 0.7035